1.
Entry from the Alexandria database: an optimized crystal structure of LaRe2Si (PBE).

a = 4.683 Å, b = 4.683 Å, c = 4.683 Å
α = 60.00°, β = 60.00°, γ = 60.00°
Positions (direct):
La  0.000  0.000  0.000
Re  0.500  0.500  0.500
Re  0.750  0.750  0.750
Si  0.250  0.250  0.250

V: 18.16 Å³/atom
E_tot: -8.232 eV/atom
E_form (uncorrected): 0.58 eV/atom

2.
Entry from the Alexandria database: an optimized crystal structure of LaReSi2 (PBE).

a = 8.581 Å, b = 8.581 Å, c = 8.581 Å
α = 146.39°, β = 146.39°, γ = 48.27°
Positions (direct):
La  0.000  0.000  0.000
La  0.750  0.250  0.500
Re  0.250  0.750  0.500
Re  0.500  0.500  0.000
Si  0.374  0.625  0.249
Si  0.375  0.624  0.749
Si  0.376  0.125  0.751
Si  0.875  0.626  0.251

V: 24.10 Å³/atom
E_tot: -7.245 eV/atom
E_form (uncorrected): -0.19 eV/atom

3.
Entry from the Alexandria database: an optimized crystal structure of LaReSi2 (PBE).

a = 9.214 Å, b = 9.214 Å, c = 9.214 Å
α = 19.05°, β = 19.05°, γ = 19.05°
Positions (direct):
La  0.000  0.000  0.000
Re  0.231  0.231  0.231
Si  0.500  0.500  0.500
Si  0.763  0.763  0.763

V: 18.22 Å³/atom
E_tot: -6.689 eV/atom
E_form (uncorrected): 0.37 eV/atom

4.
Entry from the Alexandria database: an optimized crystal structure of LaRe2Si (PBE).

a = 2.877 Å, b = 2.877 Å, c = 9.494 Å
α = 90.00°, β = 90.00°, γ = 114.36°
Positions (direct):
La  0.000  0.000  0.000
Re  0.000  0.000  0.505
Re  0.500  0.500  0.282
Si  0.500  0.500  0.711

V: 17.90 Å³/atom
E_tot: -8.373 eV/atom
E_form (uncorrected): 0.44 eV/atom

5.
Entry from the Alexandria database: an optimized crystal structure of LaRe2Si (PBE).

a = 4.454 Å, b = 4.454 Å, c = 3.538 Å
α = 90.00°, β = 90.00°, γ = 90.00°
Positions (direct):
La  0.000  0.000  0.000
Re  0.000  0.500  0.500
Re  0.500  0.000  0.500
Si  0.500  0.500  0.000

V: 17.55 Å³/atom
E_tot: -8.155 eV/atom
E_form (uncorrected): 0.66 eV/atom

6.
Entry from the Alexandria database: an optimized crystal structure of LaReSi2 (PBE).

a = 5.765 Å, b = 5.765 Å, c = 5.765 Å
α = 42.67°, β = 42.67°, γ = 42.67°
Positions (direct):
La  0.000  0.000  0.000
Re  0.500  0.500  0.500
Si  0.206  0.206  0.206
Si  0.794  0.794  0.794

V: 19.94 Å³/atom
E_tot: -7.528 eV/atom
E_form (uncorrected): -0.47 eV/atom

7.
Entry from the Alexandria database: an optimized crystal structure of LaReSi2 (PBE).

a = 3.265 Å, b = 3.265 Å, c = 6.959 Å
α = 90.00°, β = 90.00°, γ = 90.00°
Positions (direct):
La  0.000  0.000  0.000
Re  0.500  0.500  0.331
Si  0.000  0.000  0.474
Si  0.500  0.500  0.680

V: 18.55 Å³/atom
E_tot: -7.213 eV/atom
E_form (uncorrected): -0.16 eV/atom

8.
Entry from the Alexandria database: an optimized crystal structure of LaRe3Si3 (PBE).

a = 7.313 Å, b = 4.435 Å, c = 8.848 Å
α = 90.00°, β = 113.22°, γ = 90.00°
Positions (direct):
La  0.219  0.250  0.423
La  0.781  0.750  0.577
Re  0.243  0.750  0.967
Re  0.339  0.250  0.834
Re  0.443  0.250  0.163
Re  0.557  0.750  0.837
Re  0.661  0.750  0.166
Re  0.757  0.250  0.033
Si  0.080  0.250  0.988
Si  0.204  0.750  0.668
Si  0.378  0.750  0.271
Si  0.622  0.250  0.729
Si  0.796  0.250  0.332
Si  0.920  0.750  0.012

V: 18.84 Å³/atom
E_tot: -8.613 eV/atom
Energy above the most stable polymorph in this dataset: 0 meV/atom
E_form (uncorrected): -0.25 eV/atom